Below is a geometry-optimized PmBiWO6 structure, with properties calculated at the PBE+U level.

a = 5.7273 Å, b = 5.7273 Å, c = 9.4935 Å
α = 90.00°, β = 90.00°, γ = 120.00°
Space group P-31c (No. 163)
Unique sites:
Pm 0.3333 0.6667 0.2500 x2
Bi 0.0000 0.0000 0.0000 x2
W 0.3333 0.6667 0.7500 x2
O 0.0502 0.3798 0.6353 x12

Output
crystal system: trigonal
density of states at the Fermi level: 0.0 states/eV per cell
E: -7.252 eV per atom